(P)
## MgBe2Pb (PBE)

Data for crystalline MgBe2Pb at its relaxed geometry.

Cell: 4.1801 4.1780 3.8874 Å, 90.00 90.00 90.00°
Fractional coordinates of all 4 atoms:
1 Pb 0.0000 0.5000 0.5000
2 Be 0.0000 0.0000 0.0000
3 Be 0.5000 0.5000 0.0000
4 Mg 0.5000 0.0000 0.5000

As for the calculated volume: 16.97 A^3/atom. As for the total magnetization: 0.00 μB per formula unit.


(Q)
## MgBe2Pb (PBE)

Data for crystalline MgBe2Pb at its relaxed geometry.

Cell: 3.8143 3.8143 6.1385 Å, 89.88 89.88 60.00°
Fractional coordinates of all 4 atoms:
1 Pb 0.3741 0.3741 0.1368
2 Be 0.0417 0.0417 0.8697
3 Be 0.7084 0.7084 0.8697
4 Mg 0.3758 0.3758 0.6237

As for the calculated volume: 19.34 A^3/atom. As for the total magnetization: 0.00 μB per formula unit.


(R)
## MgBe2Pb (PBE)

Data for crystalline MgBe2Pb at its relaxed geometry.

Cell: 7.7884 7.7884 7.7951 Å, 25.43 25.43 25.59°
Fractional coordinates of all 4 atoms:
1 Pb 0.7500 0.7500 0.7500
2 Be 0.0037 0.0037 0.9995
3 Be 0.4963 0.4963 0.5005
4 Mg 0.2500 0.2500 0.2500

As for the calculated volume: 19.26 A^3/atom. As for the total magnetization: 0.00 μB per formula unit.


(Q) is favored, and the nearest alternative lies 29.3 kJ/mol of atoms above it.